BePPt2 | PBE | relaxed

Results
As for the calculated formation energy: -0.19 eV/atom. The calculation puts the density of states at the Fermi level at 4.54 states/eV/cell. The energy above the most stable polymorph in this dataset comes out at 286 meV/atom.

a b c (Å): 5.9853 5.9853 5.9853
angles (deg): 90.00 90.00 90.00
Last column: nearest neighbours and their distance in Å.
Space group Fm-3m (No. 225)
Unique sites:
Be1 0.0000 0.0000 0.0000 x4  8 Pt 2.59
P1 0.0000 0.0000 0.5000 x4  8 Pt 2.59
Pt1 0.2500 0.2500 0.2500 x8  4 Be 2.59, 4 P 2.59